# 1
This record from the Alexandria database describes a relaxed EuGeBi2 crystal. The functional is PBE.

- Energy relative to the elements: -0.36 eV/atom
- Total magnetic moment: 1.704 μB per atom
- DOS at the Fermi energy: 3.10 states/eV/cell
- Offset from the most stable computed form: 0 meV per atom

abc: 4.8244 4.8244 4.8823
angles: 90.00 90.00 90.00
Space group P4/mmm (No. 123)
Asymmetric unit:
Eu  0.0000  0.0000  0.0000
Ge  0.5000  0.5000  0.0000
Bi  0.0000  0.5000  0.5000

=====

# 2
This record from the Alexandria database describes a relaxed Sm2YTmBi5 crystal. The functional is PBE.

- Energy relative to the elements: -0.10 eV/atom
- Total magnetic moment: 0.000 μB per atom
- DOS at the Fermi energy: 6.28 states/eV/cell

abc: 5.3775 5.3775 11.8948
angles: 90.00 90.00 90.00
Space group P4/mmm (No. 123)
Asymmetric unit:
Sm  0.0000  0.0000  0.2286
Y  0.5000  0.5000  0.5000
Tm  0.5000  0.5000  0.0000
Bi  0.0000  0.0000  0.5000
Bi  0.0000  0.5000  0.0000
Bi  0.5000  0.5000  0.2532